A plane-wave DFT calculation with PBE-GGA was carried out for crystalline SrZnCd2Ag2 at its relaxed geometry.

Values from the calculation:
Final energy (eV/cell): -20.59

Lattice parameters (Å, degrees): 5.3730 5.3730 11.6844 90.00 90.00 90.00
With the nearest neighbours (Å) after each atom.
Space group I4/mmm (No. 139)
Asymmetric unit:
Sr (0.0000, 0.0000, 0.0000) [2 per cell]  2 Ag 3.35
Zn (0.0000, 0.0000, 0.5000) [2 per cell]  2 Ag 2.50
Cd (0.0000, 0.5000, 0.2500) [4 per cell]  4 Ag 2.72
Ag (0.0000, 0.0000, 0.2864) [4 per cell]  1 Zn 2.50, 4 Cd 2.72